No. 1
Here is a relaxed structure of Re2RuS from Alexandria. Energies are from PBE-GGA.

abc: 5.4893 5.4893 6.4943
angles: 65.00 65.00 90.00
Element x y z (fractional)
Ru: 0.0000 0.0000 0.0000
Ru: 0.7500 0.2500 0.5000
Re: 0.3750 0.3934 0.7500
Re: 0.1434 0.6250 0.2500
Re: 0.8750 0.8566 0.7500
Re: 0.6066 0.1250 0.2500
S: 0.5000 0.5000 0.0000
S: 0.2500 0.7500 0.5000

Its formation energy from raw total energies is 18.5 kcal/mol of atoms. For the total magnetic moment, the calculation gives 0.0 μB/cell. The raw total energy comes out at -8.77 eV/atom. As for the space-group type: I-42d.

***

No. 2
Here is a relaxed structure of BeAsIr2 from Alexandria. Energies are from PBE-GGA.

abc: 2.7808 2.7808 8.4219
angles: 90.00 90.00 119.13
Element x y z (fractional)
Ir: 0.5000 0.5000 0.2554
Ir: 0.0000 0.0000 0.9686
As: 0.0000 0.0000 0.5114
Be: 0.5000 0.5000 0.7646

For the total magnetic moment, the calculation gives 0.0 μB/cell. The raw total energy comes out at -6.27 eV/atom. As for the space-group type: Cmm2. For the energy relative to the elements, the calculation gives 258 meV per atom. The distance to the lowest polymorph of the same formula is 420.7 meV/atom.

***

No. 3
Here is a relaxed structure of Y2MgW from Alexandria. Energies are from PBE-GGA.

abc: 3.4896 3.4896 8.2894
angles: 90.00 90.00 90.00
Element x y z (fractional)
W: 0.5000 0.5000 0.7500
Y: 0.0000 0.0000 0.9613
Y: 0.0000 0.0000 0.5387
Mg: 0.5000 0.5000 0.2500

For the total magnetic moment, the calculation gives 0.0 μB/cell. The raw total energy comes out at -6.56 eV/atom. As for the space-group type: P4/mmm. For the energy relative to the elements, the calculation gives 308 meV per atom.

***

No. 4
Here is a relaxed structure of TbPr2Ho5Tm from Alexandria. Energies are from PBE-GGA.

abc: 8.6023 8.6023 9.9582
angles: 115.59 115.59 90.00
Element x y z (fractional)
Ho: 0.1444 0.0725 0.7169
Ho: 0.3556 0.8556 0.2831
Ho: 0.9275 0.4275 0.2831
Ho: 0.5725 0.6444 0.7169
Ho: 0.8556 0.9275 0.2831
Ho: 0.0725 0.5725 0.7169
Ho: 0.6444 0.1444 0.7169
Ho: 0.0000 0.0000 0.0000
Ho: 0.5000 0.5000 0.0000
Ho: 0.4275 0.3556 0.2831
Tb: 0.2500 0.2500 0.5000
Tb: 0.7500 0.7500 0.5000
Pr: 0.3814 0.8814 0.0000
Pr: 0.1186 0.3814 0.0000
Pr: 0.6186 0.1186 0.0000
Pr: 0.8814 0.6186 0.0000
Tm: 0.2500 0.7500 0.5000
Tm: 0.7500 0.2500 0.5000

For the total magnetic moment, the calculation gives 0.0 μB/cell. The raw total energy comes out at -4.34 eV/atom. As for the space-group type: I4/mcm. For the energy relative to the elements, the calculation gives 275 meV per atom.

***

No. 5
Here is a relaxed structure of CaFe2Ni from Alexandria. Energies are from PBE-GGA.

abc: 3.8728 2.9136 6.0196
angles: 76.09 90.00 90.00
Element x y z (fractional)
Ca: 0.5000 0.7010 0.7233
Fe: 0.5000 0.4558 0.2139
Fe: 0.0000 0.0071 0.1101
Ni: 0.0000 0.3362 0.4528

For the total magnetic moment, the calculation gives 5.5 μB/cell. The raw total energy comes out at -5.85 eV/atom. As for the space-group type: Pm. For the energy relative to the elements, the calculation gives 323 meV per atom.

***

No. 6
Here is a relaxed structure of Ba2TiO4 from Alexandria. Energies are from PBE-GGA.

abc: 3.5609 6.2857 6.2857
angles: 90.00 90.00 90.00
Element x y z (fractional)
Ba: 0.5000 0.5000 0.0000
Ba: 0.5000 0.0000 0.5000
Ti: 0.0000 0.0000 0.0000
O: 0.0000 0.7869 0.7869
O: 0.0000 0.2131 0.2131
O: 0.0000 0.7869 0.2131
O: 0.0000 0.2131 0.7869

Its formation energy from raw total energies is -57.6 kcal/mol of atoms. For the total magnetic moment, the calculation gives 0.2 μB/cell. The raw total energy comes out at -7.01 eV/atom. As for the space-group type: P4/mmm.

***

No. 7
Here is a relaxed structure of BaNaLi2 from Alexandria. Energies are from PBE-GGA.

abc: 4.1437 4.1437 8.2714
angles: 90.00 90.00 90.00
Element x y z (fractional)
Li: 0.0000 0.0000 0.8034
Li: 0.0000 0.0000 0.1966
Na: 0.5000 0.5000 0.0000
Ba: 0.5000 0.5000 0.5000

For the total magnetic moment, the calculation gives 0.0 μB/cell. The raw total energy comes out at -1.70 eV/atom. As for the space-group type: P4/mmm. For the energy relative to the elements, the calculation gives 72 meV per atom. The distance to the lowest polymorph of the same formula is 0.0 meV/atom.

***

No. 8
Here is a relaxed structure of NbHgPd from Alexandria. Energies are from PBE-GGA.

abc: 2.9392 2.9392 6.5723
angles: 102.92 102.92 90.00
Element x y z (fractional)
Nb: 0.6760 0.6760 0.3519
Hg: 0.9974 0.9974 0.9949
Pd: 0.3266 0.3266 0.6532

For the total magnetic moment, the calculation gives 0.0 μB/cell. The raw total energy comes out at -5.25 eV/atom. As for the space-group type: I4mm. For the energy relative to the elements, the calculation gives -60 meV per atom.

***

No. 9
Here is a relaxed structure of SmHo5Tl8 from Alexandria. Energies are from PBE-GGA.

abc: 8.0311 8.0311 8.0311
angles: 109.87 108.68 109.87
Element x y z (fractional)
Sm: 0.2500 0.5000 0.7500
Tl: 0.1170 0.7498 0.5321
Tl: 0.6327 0.4150 0.8830
Tl: 0.1239 0.7534 0.0435
Tl: 0.2901 0.2466 0.3704
Tl: 0.9565 0.0803 0.7099
Tl: 0.4679 0.5850 0.2177
Tl: 0.7823 0.2502 0.3673
Tl: 0.6296 0.9197 0.8761
Ho: 0.0085 0.3776 0.1275
Ho: 0.8725 0.8810 0.2501
Ho: 0.5000 0.0000 0.5000
Ho: 0.3691 0.1190 0.9915
Ho: 0.7499 0.6224 0.6309

For the total magnetic moment, the calculation gives 0.0 μB/cell. The raw total energy comes out at -3.55 eV/atom. As for the space-group type: I-4. For the energy relative to the elements, the calculation gives -228 meV per atom.

***

No. 10
Here is a relaxed structure of SrPd2N2 from Alexandria. Energies are from PBE-GGA.

abc: 7.5732 7.5732 3.5092
angles: 90.00 90.00 90.00
Element x y z (fractional)
Pd: 0.6228 0.1228 0.0000
Pd: 0.3772 0.8772 0.0000
Pd: 0.1228 0.3772 0.0000
Pd: 0.8772 0.6228 0.0000
N: 0.1929 0.3071 0.5000
N: 0.8071 0.6929 0.5000
N: 0.3071 0.8071 0.5000
N: 0.6929 0.1929 0.5000
Sr: 0.0000 0.0000 0.0000
Sr: 0.5000 0.5000 0.0000

Its formation energy from raw total energies is 14.2 kcal/mol of atoms. For the total magnetic moment, the calculation gives 0.0 μB/cell. The raw total energy comes out at -5.13 eV/atom. As for the space-group type: P4/mbm.